# VSF PBE with a Hubbard U relaxed
data_VSF
_cell_length_a 4.1358
_cell_length_b 4.8028
_cell_length_c 9.9459
_cell_angle_alpha 90.00
_cell_angle_beta 90.00
_cell_angle_gamma 90.00
_symmetry_space_group_name_H-M 'I m m a'
_symmetry_Int_Tables_number 74
_symmetry_space_group_name_Hall '-I 2b 2'
loop_
_atom_site_label
_atom_site_type_symbol
_atom_site_fract_x
_atom_site_fract_y
_atom_site_fract_z
V1 V 0.0000 0.2500 0.1168
S1 S 0.0000 0.2500 0.8789
F1 F 0.0000 0.2500 0.3341
# calculated density: 3.43 Mg/m³
# uncorrected energy: -5.878 eV per atom